# 1
The following is a DFT calculation (GGA-PBEsol) of crystalline SrCdGa3 at its relaxed geometry.

energy of formation from the pure elements	0.14	eV/atom
space-group type	Pm-3m (221)
mass density	5.1	g cm⁻³

abc: 5.124 5.124 5.124
angles: 90.00 90.00 90.00
Sites, in units of the cell vectors:
Sr: 0.000 0.000 0.000
Cd: 0.500 0.500 0.500
Ga: 0.000 0.500 0.500
Ga: 0.500 0.000 0.500
Ga: 0.500 0.500 0.000

# 2
The following is a DFT calculation (GGA-PBEsol) of crystalline MgCr2O4 at its relaxed geometry.

energy relative to the elements, uncorrected	-2.116	eV/atom
space-group type	P3m1 (156)
polymorph energy (0 for the lowest one)	63	meV/atom
mass density	4.4	g cm⁻³

abc: 5.886 5.886 14.446
angles: 90.00 90.00 120.00
Sites, in units of the cell vectors:
Mg: 0.000 0.000 0.000
Mg: 0.000 0.000 0.244
Mg: 0.000 0.000 0.622
Mg: 0.333 0.667 0.287
Mg: 0.333 0.667 0.913
Mg: 0.667 0.333 0.578
Cr: 0.003 0.501 0.123
Cr: 0.165 0.330 0.456
Cr: 0.165 0.835 0.456
Cr: 0.333 0.667 0.666
Cr: 0.334 0.167 0.790
Cr: 0.499 0.501 0.123
Cr: 0.499 0.997 0.123
Cr: 0.667 0.333 0.333
Cr: 0.667 0.333 0.957
Cr: 0.670 0.835 0.456
Cr: 0.833 0.167 0.790
Cr: 0.833 0.666 0.790
O: 0.000 0.000 0.383
O: 0.000 0.000 0.861
O: 0.018 0.509 0.380
O: 0.157 0.314 0.714
O: 0.157 0.843 0.714
O: 0.179 0.358 0.197
O: 0.179 0.821 0.197
O: 0.306 0.153 0.531
O: 0.333 0.667 0.050
O: 0.333 0.667 0.529
O: 0.368 0.184 0.043
O: 0.491 0.509 0.380
O: 0.491 0.982 0.380
O: 0.517 0.033 0.869
O: 0.517 0.483 0.869
O: 0.642 0.821 0.197
O: 0.667 0.333 0.198
O: 0.667 0.333 0.717
O: 0.686 0.843 0.714
O: 0.816 0.184 0.043
O: 0.816 0.632 0.043
O: 0.847 0.153 0.531
O: 0.847 0.694 0.531
O: 0.967 0.483 0.869

# 3
The following is a DFT calculation (GGA-PBEsol) of crystalline MgRe2Pt at its relaxed geometry.

energy of formation from the pure elements	-0.04	eV/atom
space-group type	P4mm (99)
mass density	16.1	g cm⁻³

abc: 2.806 2.806 7.758
angles: 90.00 90.00 90.00
Sites, in units of the cell vectors:
Mg: 0.000 0.000 0.000
Re: 0.000 0.000 0.502
Re: 0.500 0.500 0.725
Pt: 0.500 0.500 0.250

# 4
The following is a DFT calculation (GGA-PBEsol) of crystalline KNbSiRh2 at its relaxed geometry.

energy relative to the elements, uncorrected	1.039	eV/atom
space-group type	P4/mmm (123)
mass density	6.1	g cm⁻³

abc: 4.421 4.421 5.113
angles: 90.00 90.00 90.00
Sites, in units of the cell vectors:
K: 0.000 0.000 0.000
Nb: 0.500 0.500 0.000
Si: 0.000 0.000 0.500
Rh: 0.000 0.500 0.500
Rh: 0.500 0.000 0.500

Calculated total DFT energy (no corrections) in order - -12.38, -348.05, -35.51, -28.78 eV per cell